Record 1
# CsGa2CoCl8

A relaxed structure of CsGa2CoCl8 (PBE-GGA, the Alexandria database).

- magnetic moment (μB/f.u.) = 2.00
- uncorrected formation energy (eV per formula unit) = -13.34
- calculated volume (Å³ per cell) = 343.6

Cell and atoms, written as POSCAR:
```
CsGa2CoCl8
1.0
6.3837 0.0000 0.0000
3.1918 5.5284 0.0000
3.1918 1.8428 9.7372
Cl Ga Cs Co
8 2 1 1
Direct
0.8140 0.8140 0.5581
0.3699 0.7397 0.8497
0.0408 0.3699 0.8497
0.2603 0.9592 0.1503
0.9592 0.6301 0.1503
0.1860 0.1860 0.4419
0.7397 0.0408 0.8497
0.6301 0.2603 0.1503
0.2624 0.2624 0.2128
0.7376 0.7376 0.7872
0.5000 0.5000 0.5000
0.0000 0.0000 0.0000
```

***

Record 2
# CsHf2CoCl

A relaxed structure of CsHf2CoCl (PBE-GGA, the Alexandria database).

- magnetic moment (μB/f.u.) = 1.82
- uncorrected formation energy (eV per formula unit) = 5.46
- calculated volume (Å³ per cell) = 135.7

Cell and atoms, written as POSCAR:
```
CsHf2CoCl
1.0
4.7751 0.0000 0.0000
0.0000 5.9514 0.0000
0.0000 0.0000 4.7751
Co Hf Cl Cs
1 2 1 1
Direct
0.5000 0.5000 0.5000
0.5000 0.0000 0.0000
0.0000 0.0000 0.5000
0.0000 0.0000 0.0000
0.0000 0.5000 0.0000
```

***

Record 3
# Cs2HfCoCl6

A relaxed structure of Cs2HfCoCl6 (PBE-GGA, the Alexandria database).

- magnetic moment (μB/f.u.) = 1.00
- uncorrected formation energy (eV per formula unit) = -14.12
- calculated volume (Å³ per cell) = 291.9

Cell and atoms, written as POSCAR:
```
Cs2HfCoCl6
1.0
6.8742 0.0000 0.0000
0.0000 6.8742 0.0000
3.4371 3.4371 6.1764
Hf Cl Cs Co
1 6 2 1
Direct
0.0000 0.0000 0.0000
0.2042 0.2042 0.5916
0.7958 0.7958 0.4084
0.2568 0.7432 0.0000
0.2568 0.2568 0.0000
0.7432 0.2568 0.0000
0.7432 0.7432 0.0000
0.2500 0.7500 0.5000
0.7500 0.2500 0.5000
0.5000 0.5000 0.0000
```

***

Record 4
# CsCo2HgCl8

A relaxed structure of CsCo2HgCl8 (PBE-GGA, the Alexandria database).

- magnetic moment (μB/f.u.) = 7.00
- uncorrected formation energy (eV per formula unit) = -9.76
- calculated volume (Å³ per cell) = 359.7

Cell and atoms, written as POSCAR:
```
CsCo2HgCl8
1.0
6.5182 0.0000 0.0000
3.2591 5.6449 0.0000
3.2591 1.8816 9.7764
Cl Hg Co Cs
8 1 2 1
Direct
0.6014 0.2812 0.1648
0.1810 0.1810 0.4570
0.2812 0.9526 0.1648
0.3986 0.7188 0.8352
0.0474 0.3986 0.8352
0.7188 0.0474 0.8352
0.9526 0.6014 0.1648
0.8190 0.8190 0.5430
0.0000 0.0000 0.0000
0.2554 0.2554 0.2338
0.7446 0.7446 0.7662
0.5000 0.5000 0.5000
```

***

Record 5
# CsHoCoCl6

A relaxed structure of CsHoCoCl6 (PBE-GGA, the Alexandria database).

- magnetic moment (μB/f.u.) = 3.00
- uncorrected formation energy (eV per formula unit) = -14.93
- calculated volume (Å³ per cell) = 303.6

Cell and atoms, written as POSCAR:
```
CsHoCoCl6
1.0
6.6884 -0.0036 -0.0047
3.3412 5.7866 -0.0094
-0.0100 -0.0178 7.8423
Cs Ho Cl Co
1 1 6 1
Direct
0.0000 0.0000 0.0000
0.3326 0.3337 0.5000
0.9811 0.3926 0.3106
0.3862 0.9805 0.6854
0.6335 0.9811 0.3140
0.3862 0.6333 0.3145
0.6336 0.3853 0.6860
0.9811 0.6262 0.6894
0.6654 0.6673 0.5000
```

***

Record 6
# CsCo2IrCl

A relaxed structure of CsCo2IrCl (PBE-GGA, the Alexandria database).

- magnetic moment (μB/f.u.) = 4.28
- uncorrected formation energy (eV per formula unit) = 12.75
- calculated volume (Å³ per cell) = 129.0

Cell and atoms, written as POSCAR:
```
CsCo2IrCl
1.0
5.0171 0.0000 0.0000
0.0000 5.1260 0.0000
0.0000 0.0000 5.0171
Co Cl Ir Cs
2 1 1 1
Direct
0.5000 0.0000 0.0000
0.0000 0.0000 0.5000
0.5000 0.5000 0.5000
0.0000 0.5000 0.0000
0.0000 0.0000 0.0000
```

***

Record 7
# CsKCoCl4

A relaxed structure of CsKCoCl4 (PBE-GGA, the Alexandria database).

- magnetic moment (μB/f.u.) = 3.00
- uncorrected formation energy (eV per formula unit) = -9.95
- calculated volume (Å³ per cell) = 469.5

Cell and atoms, written as POSCAR:
```
CsKCoCl4
1.0
-6.2941 3.2725 0.8674
-3.4634 -6.1702 -1.8523
2.5725 -3.9204 8.2491
Co Cs Cl K
2 2 8 2
Direct
0.2120 0.7500 0.3081
0.7880 0.2500 0.6919
0.7100 0.7500 0.9241
0.2900 0.2500 0.0759
0.6083 0.2500 0.4486
0.9945 0.4936 0.7408
0.0055 0.9936 0.2592
0.9945 0.0064 0.7408
0.4040 0.7500 0.1590
0.5960 0.2500 0.8410
0.3917 0.7500 0.5514
0.0055 0.5064 0.2592
0.2184 0.2500 0.5453
0.7816 0.7500 0.4547
```

***

Record 8
# CsK2CoCl

A relaxed structure of CsK2CoCl (PBE-GGA, the Alexandria database).

- magnetic moment (μB/f.u.) = 1.02
- uncorrected formation energy (eV per formula unit) = 0.46
- calculated volume (Å³ per cell) = 205.4

Cell and atoms, written as POSCAR:
```
CsK2CoCl
1.0
-5.1297 -2.1386 -2.1855
0.1676 -4.3062 3.8202
-3.0528 3.3392 3.8979
K Cs Co Cl
2 1 1 1
Direct
0.0000 0.0000 0.5000
0.5000 0.0000 0.0000
0.0000 0.5000 0.0000
0.0000 0.0000 0.0000
0.5000 0.5000 0.5000
```

***

Record 9
# CsK2CoCl6

A relaxed structure of CsK2CoCl6 (PBE-GGA, the Alexandria database).

- magnetic moment (μB/f.u.) = 0.17
- uncorrected formation energy (eV per formula unit) = -13.81
- calculated volume (Å³ per cell) = 613.1

Cell and atoms, written as POSCAR:
```
CsK2CoCl6
1.0
-5.3883 1.5539 -4.8087
-4.1204 -6.4252 2.5408
-4.8841 5.8758 6.9382
Co Cl K Cs
2 12 4 2
Direct
0.0000 0.5000 0.0000
0.5000 0.0000 0.5000
0.2480 0.1596 0.4831
0.8819 0.6171 0.1853
0.3819 0.8829 0.6853
0.7480 0.3404 0.9831
0.1361 0.2952 0.1185
0.3639 0.7952 0.3815
0.2520 0.6596 0.0169
0.6181 0.1171 0.3147
0.8639 0.7048 0.8815
0.6361 0.2048 0.6185
0.1181 0.3829 0.8147
0.7520 0.8404 0.5169
0.5097 0.5282 0.7757
0.9903 0.0282 0.7243
0.4903 0.4718 0.2243
0.0097 0.9718 0.2757
0.0000 0.5000 0.5000
0.5000 0.0000 0.0000
```

***

Record 10
# Cs2LaCoCl6

A relaxed structure of Cs2LaCoCl6 (PBE-GGA, the Alexandria database).

- magnetic moment (μB/f.u.) = 2.00
- uncorrected formation energy (eV per formula unit) = -17.40
- calculated volume (Å³ per cell) = 300.4

Cell and atoms, written as POSCAR:
```
Cs2LaCoCl6
1.0
7.5140 0.0000 0.0000
0.0000 7.5140 0.0000
3.7570 3.7570 5.3200
Cl Co Cs La
6 1 2 1
Direct
0.2625 0.2625 0.0000
0.2622 0.2622 0.4757
0.7375 0.2625 0.0000
0.7375 0.7375 0.0000
0.2625 0.7375 0.0000
0.7378 0.7378 0.5243
0.5000 0.5000 0.0000
0.2500 0.7500 0.5000
0.7500 0.2500 0.5000
0.0000 0.0000 0.0000
```

***

Record 11
# CsLaCo2Cl8

A relaxed structure of CsLaCo2Cl8 (PBE-GGA, the Alexandria database).

- magnetic moment (μB/f.u.) = 6.00
- uncorrected formation energy (eV per formula unit) = -16.82
- calculated volume (Å³ per cell) = 384.4

Cell and atoms, written as POSCAR:
```
CsLaCo2Cl8
1.0
-2.5327 5.9848 1.2888
-6.3386 1.2927 -1.4301
-5.6773 -0.7110 9.1740
Co Cl La Cs
2 8 1 1
Direct
0.2531 0.2531 0.2406
0.7469 0.7469 0.7594
0.4001 0.7153 0.8353
0.7153 0.0493 0.8353
0.1810 0.1810 0.4569
0.9507 0.5999 0.1647
0.2847 0.9507 0.1647
0.5999 0.2847 0.1647
0.0493 0.4001 0.8353
0.8190 0.8190 0.5431
0.0000 0.0000 0.0000
0.5000 0.5000 0.5000
```

***

Record 12
# CsLiCoCl4

A relaxed structure of CsLiCoCl4 (PBE-GGA, the Alexandria database).

- magnetic moment (μB/f.u.) = 3.00
- uncorrected formation energy (eV per formula unit) = -9.35
- calculated volume (Å³ per cell) = 404.9

Cell and atoms, written as POSCAR:
```
CsLiCoCl4
1.0
6.0555 0.0000 -0.3264
0.0000 7.1890 0.0000
-2.7725 0.0000 9.4512
Cl Co Cs Li
8 2 2 2
Direct
0.9405 0.5063 0.3111
0.4893 0.7500 0.4938
0.7499 0.2500 0.9106
0.0595 0.4937 0.6889
0.9405 0.9937 0.3111
0.0595 0.0063 0.6889
0.5107 0.2500 0.5062
0.2501 0.7500 0.0894
0.1726 0.7500 0.2968
0.8274 0.2500 0.7032
0.3623 0.2500 0.1319
0.6377 0.7500 0.8681
0.1212 0.2500 0.5052
0.8788 0.7500 0.4948
```

***

Record 13
# Cs3LiCo2Cl8

A relaxed structure of Cs3LiCo2Cl8 (PBE-GGA, the Alexandria database).

- magnetic moment (μB/f.u.) = 6.00
- uncorrected formation energy (eV per formula unit) = -19.38
- calculated volume (Å³ per cell) = 441.1

Cell and atoms, written as POSCAR:
```
Cs3LiCo2Cl8
1.0
7.2969 0.0000 0.0000
-3.6484 6.3193 0.0000
0.0000 0.0000 9.5670
Cl Cs Co Li
8 3 2 1
Direct
0.8343 0.1657 0.6714
0.1657 0.8343 0.3286
0.6667 0.3333 0.9905
0.3333 0.6667 0.0095
0.8343 0.6685 0.6714
0.6685 0.8343 0.3286
0.1657 0.3315 0.3286
0.3315 0.1657 0.6714
0.6667 0.3333 0.3477
0.3333 0.6667 0.6523
0.0000 0.0000 0.0000
0.3333 0.6667 0.2408
0.6667 0.3333 0.7592
0.0000 0.0000 0.5000
```

***

Record 14
# CsMgCo2Cl8

A relaxed structure of CsMgCo2Cl8 (PBE-GGA, the Alexandria database).

- magnetic moment (μB/f.u.) = 7.00
- uncorrected formation energy (eV per formula unit) = -13.43
- calculated volume (Å³ per cell) = 345.1

Cell and atoms, written as POSCAR:
```
CsMgCo2Cl8
1.0
6.4043 0.0000 0.0000
3.2022 5.5463 0.0000
3.2022 1.8488 9.7144
Cl Cs Co Mg
8 1 2 1
Direct
0.1847 0.1847 0.4460
0.9570 0.6234 0.1538
0.2658 0.9570 0.1538
0.3766 0.7342 0.8462
0.7342 0.0430 0.8462
0.6234 0.2658 0.1538
0.0430 0.3766 0.8462
0.8153 0.8153 0.5540
0.5000 0.5000 0.5000
0.7402 0.7402 0.7793
0.2598 0.2598 0.2207
0.0000 0.0000 0.0000
```

***

Record 15
# Cs2MgCoCl6

A relaxed structure of Cs2MgCoCl6 (PBE-GGA, the Alexandria database).

- magnetic moment (μB/f.u.) = 3.00
- uncorrected formation energy (eV per formula unit) = -14.80
- calculated volume (Å³ per cell) = 261.2

Cell and atoms, written as POSCAR:
```
Cs2MgCoCl6
1.0
-6.2153 3.0716 1.8487
-3.1495 -2.9106 -5.7525
-5.8932 -4.0162 0.7839
Cs Mg Cl Co
2 1 6 1
Direct
0.7500 0.2500 0.5000
0.2500 0.7500 0.5000
0.5000 0.5000 0.0000
0.7539 0.7539 0.4922
0.7537 0.7537 0.0000
0.7537 0.2463 0.0000
0.2463 0.7537 0.0000
0.2461 0.2461 0.5078
0.2463 0.2463 0.0000
0.0000 0.0000 0.0000
```

***

Record 16
# CsMnCoCl6

A relaxed structure of CsMnCoCl6 (PBE-GGA, the Alexandria database).

- magnetic moment (μB/f.u.) = 1.00
- uncorrected formation energy (eV per formula unit) = -9.75
- calculated volume (Å³ per cell) = 288.4

Cell and atoms, written as POSCAR:
```
CsMnCoCl6
1.0
6.8378 -0.2409 0.1247
3.2159 5.5611 0.2629
0.1977 0.3260 7.4478
Cl Mn Cs Co
6 1 1 1
Direct
0.5852 0.4533 0.6658
0.5849 0.9617 0.3344
0.0170 0.3230 0.3484
0.0174 0.6600 0.6511
0.3741 0.5445 0.2548
0.3741 0.0816 0.7454
0.3442 0.3279 0.5001
0.9415 0.0287 0.0000
0.7614 0.6193 0.5000
```

***

Record 17
# CsCoMoCl6

A relaxed structure of CsCoMoCl6 (PBE-GGA, the Alexandria database).

- magnetic moment (μB/f.u.) = 5.78
- uncorrected formation energy (eV per formula unit) = -9.08
- calculated volume (Å³ per cell) = 282.8

Cell and atoms, written as POSCAR:
```
CsCoMoCl6
1.0
-5.6472 -0.9009 -2.9331
-0.2390 -3.1120 -5.6103
-0.9007 -6.8459 3.8588
Cl Co Mo Cs
6 1 1 1
Direct
0.6300 0.3686 0.6763
0.3689 0.6309 0.3256
0.3689 0.0002 0.6744
0.0008 0.6250 0.6780
0.6300 0.0014 0.3237
0.0008 0.3741 0.3220
0.6664 0.6668 0.5000
0.3329 0.3335 0.5000
0.0010 0.9995 0.0000
```

***

Record 18
# Cs2CoMoCl6

A relaxed structure of Cs2CoMoCl6 (PBE-GGA, the Alexandria database).

- magnetic moment (μB/f.u.) = 5.00
- uncorrected formation energy (eV per formula unit) = -11.12
- calculated volume (Å³ per cell) = 259.2

Cell and atoms, written as POSCAR:
```
Cs2CoMoCl6
1.0
7.1489 0.0000 0.0000
0.0000 7.1489 0.0000
3.5745 3.5745 5.0712
Cs Cl Co Mo
2 6 1 1
Direct
0.7500 0.2500 0.5000
0.2500 0.7500 0.5000
0.7528 0.7528 0.4944
0.7520 0.2480 0.0000
0.2472 0.2472 0.5056
0.7520 0.7520 0.0000
0.2480 0.2480 0.0000
0.2480 0.7520 0.0000
0.5000 0.5000 0.0000
0.0000 0.0000 0.0000
```

***

Record 19
# CsNaCoCl4

A relaxed structure of CsNaCoCl4 (PBE-GGA, the Alexandria database).

- magnetic moment (μB/f.u.) = 3.00
- uncorrected formation energy (eV per formula unit) = -9.42
- calculated volume (Å³ per cell) = 432.7

Cell and atoms, written as POSCAR:
```
CsNaCoCl4
1.0
-3.2221 -0.7033 -5.9339
0.2529 -7.2083 0.7170
-6.3633 0.4436 6.7049
Cl Na Co Cs
8 2 2 2
Direct
0.4493 0.7500 0.5613
0.9996 0.5074 0.2921
0.6035 0.2500 0.8441
0.5507 0.2500 0.4387
0.0004 0.0074 0.7079
0.3965 0.7500 0.1559
0.0004 0.4926 0.7079
0.9996 0.9926 0.2921
0.2104 0.2500 0.5450
0.7896 0.7500 0.4550
0.2213 0.7500 0.3277
0.7787 0.2500 0.6723
0.2646 0.2500 0.0670
0.7354 0.7500 0.9330
```

***

Record 20
# CsNaCoCl6

A relaxed structure of CsNaCoCl6 (PBE-GGA, the Alexandria database).

- magnetic moment (μB/f.u.) = 1.16
- uncorrected formation energy (eV per formula unit) = -9.49
- calculated volume (Å³ per cell) = 297.4

Cell and atoms, written as POSCAR:
```
CsNaCoCl6
1.0
6.8229 0.0082 0.0021
3.4186 5.9046 -0.0022
0.0025 -0.0044 7.3881
Na Cl Co Cs
1 6 1 1
Direct
0.6662 0.6662 0.5000
0.3436 0.0601 0.6780
0.0601 0.3436 0.3219
0.5977 0.0586 0.3229
0.0585 0.5978 0.6770
0.3443 0.5960 0.3218
0.5959 0.3444 0.6781
0.3334 0.3334 0.5000
0.0000 0.0000 0.0000
```